w.
VASP calculation (GGA-PBE) on an optimized crystal structure of RbTaFe3. Values from VASP.

Properties
Its symmetry is Pm-3m. The calculation puts the total moment at 1.30 μB/atom. For the density of states at the Fermi level, the calculation gives 1.14 states/eV/atom.

Quantum ESPRESSO input file:
```
&SYSTEM
  ibrav = 0, nat = 5, ntyp = 3
/
ATOMIC_SPECIES
Rb 85.47 Rb.upf
Ta 180.95 Ta.upf
Fe 55.84 Fe.upf
CELL_PARAMETERS angstrom
4.873 0.000 0.000
0.000 4.873 0.000
0.000 0.000 4.873
ATOMIC_POSITIONS angstrom
Rb 0.000 0.000 0.000
Ta 2.437 2.437 2.437
Fe 0.000 2.437 2.437
Fe 2.437 0.000 2.437
Fe 2.437 2.437 0.000
```

=====

x.
VASP calculation (GGA-PBE) on an optimized crystal structure of RbTaFe3. Values from VASP.

Properties
Its symmetry is Pm-3m. The calculation puts the total moment at 0.00 μB/atom. For the density of states at the Fermi level, the calculation gives 2.16 states/eV/atom.

Quantum ESPRESSO input file:
```
&SYSTEM
  ibrav = 0, nat = 5, ntyp = 3
/
ATOMIC_SPECIES
Rb 85.47 Rb.upf
Ta 180.95 Ta.upf
Fe 55.84 Fe.upf
CELL_PARAMETERS angstrom
4.337 0.000 0.000
0.000 4.337 0.000
0.000 0.000 4.337
ATOMIC_POSITIONS angstrom
Rb 0.000 0.000 0.000
Ta 2.169 2.169 2.169
Fe 0.000 0.000 2.169
Fe 0.000 2.169 0.000
Fe 2.169 0.000 0.000
```

=====

Result of the stability comparison: w is the most stable of them.

=====

w.
VASP calculation (GGA-PBE) on an optimized crystal structure of RbTi3Fe. Values from VASP.

Properties
Its symmetry is Pm-3m. The calculation puts the total moment at 0.00 μB/atom. For the density of states at the Fermi level, the calculation gives 0.95 states/eV/atom.

Quantum ESPRESSO input file:
```
&SYSTEM
  ibrav = 0, nat = 5, ntyp = 3
/
ATOMIC_SPECIES
Rb 85.47 Rb.upf
Ti 47.87 Ti.upf
Fe 55.84 Fe.upf
CELL_PARAMETERS angstrom
4.747 0.000 0.000
0.000 4.747 0.000
0.000 0.000 4.747
ATOMIC_POSITIONS angstrom
Rb 0.000 0.000 0.000
Ti 0.000 2.373 2.373
Ti 2.373 0.000 2.373
Ti 2.373 2.373 0.000
Fe 2.373 2.373 2.373
```

=====

x.
VASP calculation (GGA-PBE) on an optimized crystal structure of RbTi3Fe. Values from VASP.

Properties
Its symmetry is Pm-3m. The calculation puts the total moment at 0.00 μB/atom. For the density of states at the Fermi level, the calculation gives 2.60 states/eV/atom.

Quantum ESPRESSO input file:
```
&SYSTEM
  ibrav = 0, nat = 5, ntyp = 3
/
ATOMIC_SPECIES
Rb 85.47 Rb.upf
Ti 47.87 Ti.upf
Fe 55.84 Fe.upf
CELL_PARAMETERS angstrom
4.602 0.000 0.000
0.000 4.602 0.000
0.000 0.000 4.602
ATOMIC_POSITIONS angstrom
Rb 0.000 0.000 0.000
Ti 0.000 0.000 2.301
Ti 0.000 2.301 0.000
Ti 2.301 0.000 0.000
Fe 2.301 2.301 2.301
```

=====

Result of the stability comparison: w is the most stable of them.

=====

w.
VASP calculation (GGA-PBE) on an optimized crystal structure of RbTlFe3. Values from VASP.

Properties
Its symmetry is Pm-3m. The calculation puts the total moment at 1.58 μB/atom. For the density of states at the Fermi level, the calculation gives 1.38 states/eV/atom.

Quantum ESPRESSO input file:
```
&SYSTEM
  ibrav = 0, nat = 5, ntyp = 3
/
ATOMIC_SPECIES
Rb 85.47 Rb.upf
Tl 204.38 Tl.upf
Fe 55.84 Fe.upf
CELL_PARAMETERS angstrom
4.830 0.000 0.000
0.000 4.830 0.000
0.000 0.000 4.830
ATOMIC_POSITIONS angstrom
Rb 0.000 0.000 0.000
Tl 2.415 2.415 2.415
Fe 0.000 0.000 2.415
Fe 0.000 2.415 0.000
Fe 2.415 0.000 0.000
```

=====

x.
VASP calculation (GGA-PBE) on an optimized crystal structure of RbTlFe3. Values from VASP.

Properties
Its symmetry is Pm-3m. The calculation puts the total moment at 1.92 μB/atom. For the density of states at the Fermi level, the calculation gives 2.79 states/eV/atom.

Quantum ESPRESSO input file:
```
&SYSTEM
  ibrav = 0, nat = 5, ntyp = 3
/
ATOMIC_SPECIES
Rb 85.47 Rb.upf
Tl 204.38 Tl.upf
Fe 55.84 Fe.upf
CELL_PARAMETERS angstrom
5.180 0.000 0.000
0.000 5.180 0.000
0.000 0.000 5.180
ATOMIC_POSITIONS angstrom
Rb 0.000 0.000 0.000
Tl 2.590 2.590 2.590
Fe 0.000 2.590 2.590
Fe 2.590 0.000 2.590
Fe 2.590 2.590 0.000
```

=====

Result of the stability comparison: x is the most stable of them.

=====

w.
VASP calculation (GGA-PBE) on an optimized crystal structure of RbV3Fe. Values from VASP.

Properties
Its symmetry is Pm-3m. The calculation puts the total moment at 1.27 μB/atom. For the density of states at the Fermi level, the calculation gives 1.49 states/eV/atom.

Quantum ESPRESSO input file:
```
&SYSTEM
  ibrav = 0, nat = 5, ntyp = 3
/
ATOMIC_SPECIES
Rb 85.47 Rb.upf
V 50.94 V.upf
Fe 55.84 Fe.upf
CELL_PARAMETERS angstrom
4.703 0.000 0.000
0.000 4.703 0.000
0.000 0.000 4.703
ATOMIC_POSITIONS angstrom
Rb 0.000 0.000 0.000
V 0.000 2.352 2.352
V 2.352 0.000 2.352
V 2.352 2.352 0.000
Fe 2.352 2.352 2.352
```

=====

x.
VASP calculation (GGA-PBE) on an optimized crystal structure of RbV3Fe. Values from VASP.

Properties
Its symmetry is Pm-3m. The calculation puts the total moment at 0.76 μB/atom. For the density of states at the Fermi level, the calculation gives 1.32 states/eV/atom.

Quantum ESPRESSO input file:
```
&SYSTEM
  ibrav = 0, nat = 5, ntyp = 3
/
ATOMIC_SPECIES
Rb 85.47 Rb.upf
V 50.94 V.upf
Fe 55.84 Fe.upf
CELL_PARAMETERS angstrom
4.458 0.000 0.000
0.000 4.458 0.000
0.000 0.000 4.458
ATOMIC_POSITIONS angstrom
Rb 0.000 0.000 0.000
V 0.000 0.000 2.229
V 0.000 2.229 0.000
V 2.229 0.000 0.000
Fe 2.229 2.229 2.229
```

=====

Result of the stability comparison: w is the most stable of them.